First-principles (PBE+U) data for an optimized crystal structure of PmTaV2O8, as listed in the Alexandria database.

## Properties
Calculated total energy, eV per atom: -8.4035

Unit cell a=4.748 b=4.745 c=6.514 alpha=89.97 beta=89.97 gamma=87.68
Site moments in Bohr magnetons follow the coordinates.
Fractional coordinates of all 12 atoms:
Pm  0.000  0.000  0.500  0.00
Ta  0.000  0.000  0.000  0.01
V  0.500  0.500  0.749  1.07
V  0.500  0.500  0.251  1.07
O  0.212  0.786  0.218  -0.03
O  0.702  0.704  0.000  -0.02
O  0.787  0.214  0.218  -0.03
O  0.788  0.214  0.782  -0.03
O  0.298  0.296  0.000  -0.02
O  0.213  0.786  0.782  -0.03
O  0.668  0.670  0.500  -0.03
O  0.332  0.330  0.500  -0.03